{
  "formula": "Ta2MoOs",
  "functional": "GGA-PBE",
  "state": "relaxed",
  "space_group": "P2/m",
  "dos_at_fermi_per_ev_atom": 0.64,
  "delta_e_f_ev_per_atom": -0.153,
  "lattice_angstrom": [[2.838, 0.000, 0.000], [0.000, 4.433, 0.000], [-0.855, 0.000, 5.239]],
  "species": ["Ta", "Ta", "Mo", "Os"],
  "frac_coords": [[0.243, 0.000, 0.250], [0.757, 0.000, 0.750], [0.000, 0.500, 0.500], [0.500, 0.500, 0.000]]
}